No. 1
{"formula": "Nd2YPb7", "functional": "PBE", "state": "optimized geometry", "magmom_total_mub_per_fu": 0.01, "final_energy_ev_per_atom": -4.5860, "sg": "Cmmm (65)", "lattice_angstrom": [[2.294, -13.729, 0.000], [2.294, 13.729, 0.000], [0.000, 0.000, 4.668]], "species": ["Nd", "Nd", "Y", "Pb", "Pb", "Pb", "Pb", "Pb", "Pb", "Pb"], "frac_coords": [[0.189, 0.811, 0.000], [0.811, 0.189, 0.000], [0.500, 0.500, 0.500], [0.000, 0.000, 0.000], [0.095, 0.905, 0.500], [0.290, 0.710, 0.500], [0.405, 0.595, 0.000], [0.595, 0.405, 0.000], [0.710, 0.290, 0.500], [0.905, 0.095, 0.500]]}


No. 2
{"formula": "Hf2ZnCu3", "functional": "PBE", "state": "optimized geometry", "delta_e_f_kcal_per_mol_atoms": -2.07, "magmom_total_mub_per_fu": 0.01, "sg": "P4mm (99)", "lattice_angstrom": [[3.154, 0.000, 0.000], [0.000, 3.154, 0.000], [0.000, 0.000, 9.338]], "species": ["Hf", "Hf", "Zn", "Cu", "Cu", "Cu"], "frac_coords": [[0.000, 0.000, 0.000], [0.500, 0.500, 0.481], [0.000, 0.000, 0.678], [0.000, 0.000, 0.303], [0.500, 0.500, 0.175], [0.500, 0.500, 0.814]]}


No. 3
{"formula": "TmAlFe", "functional": "PBE", "state": "optimized geometry", "magmom_total_mub_per_fu": 2.09, "final_energy_ev_per_atom": -4.6441, "sg": "F-43m (216)", "lattice_angstrom": [[0.000, 3.190, 3.190], [3.190, 0.000, 3.190], [3.190, 3.190, 0.000]], "species": ["Tm", "Al", "Fe"], "frac_coords": [[0.000, 0.000, 0.000], [0.750, 0.750, 0.750], [0.250, 0.250, 0.250]]}


No. 4
{"formula": "CsBaNi", "functional": "PBE", "state": "optimized geometry", "magmom_total_mub_per_fu": 0.65, "final_energy_ev_per_atom": -1.8810, "sg": "F-43m (216)", "lattice_angstrom": [[0.000, 3.889, 3.889], [3.889, 0.000, 3.889], [3.889, 3.889, 0.000]], "species": ["Cs", "Ba", "Ni"], "frac_coords": [[0.000, 0.000, 0.000], [0.750, 0.750, 0.750], [0.250, 0.250, 0.250]]}


No. 5
{"formula": "ZrU", "functional": "PBE", "state": "optimized geometry", "delta_e_f_kcal_per_mol_atoms": 4.57, "e_above_lowest_polymorph_kj_per_mol_atoms": 8.0, "magmom_total_mub_per_fu": 0.24, "sg": "Pm (6)", "lattice_angstrom": [[5.901, 0.000, 0.000], [0.000, 4.943, 0.000], [-0.348, 0.000, 9.123]], "species": ["Zr", "Zr", "Zr", "Zr", "Zr", "Zr", "U", "U", "U", "U", "U", "U"], "frac_coords": [[0.000, 0.000, 0.000], [0.000, 0.000, 0.327], [0.292, 0.500, 0.401], [0.495, 0.000, 0.224], [0.499, 0.000, 0.892], [0.786, 0.500, 0.824], [0.069, 0.000, 0.651], [0.251, 0.500, 0.022], [0.282, 0.500, 0.743], [0.630, 0.000, 0.581], [0.747, 0.500, 0.197], [0.785, 0.500, 0.475]]}


No. 6
{"formula": "YTlOs", "functional": "PBE", "state": "optimized geometry", "e_above_lowest_polymorph_kj_per_mol_atoms": 16.6, "magmom_total_mub_per_fu": 0.00, "sg": "F-43m (216)", "lattice_angstrom": [[0.000, 3.382, 3.382], [3.382, 0.000, 3.382], [3.382, 3.382, 0.000]], "species": ["Y", "Tl", "Os"], "frac_coords": [[0.000, 0.000, 0.000], [0.250, 0.250, 0.250], [0.750, 0.750, 0.750]]}


No. 7
{"formula": "NbSiB", "functional": "PBE", "state": "optimized geometry", "e_above_lowest_polymorph_kj_per_mol_atoms": 0.0, "magmom_total_mub_per_fu": 0.01, "sg": "F-43m (216)", "lattice_angstrom": [[0.000, 2.691, 2.691], [2.691, 0.000, 2.691], [2.691, 2.691, 0.000]], "species": ["Nb", "Si", "B"], "frac_coords": [[0.000, 0.000, 0.000], [0.500, 0.500, 0.500], [0.250, 0.250, 0.250]]}


No. 8
{"formula": "AcZn", "functional": "PBE", "state": "optimized geometry", "delta_e_f_kcal_per_mol_atoms": -0.31, "magmom_total_mub_per_fu": 0.01, "sg": "P-6m2 (187)", "lattice_angstrom": [[3.965, 0.000, 0.000], [-1.983, 3.434, 0.000], [0.000, 0.000, 4.758]], "species": ["Ac", "Zn"], "frac_coords": [[0.000, 0.000, 0.000], [0.667, 0.333, 0.500]]}